Below is NdAlO3 after structural relaxation, with properties calculated at the PBE level.

**Crystal system**: orthorhombic
**V**: 266 Å³/cell
**Calculated total energy**: -38.969 eV/f.u.
**Size of the total moment**: 0.000 μB per cell
**Formation energy from raw total energies**: -3.12 eV per atom

Cell and atoms, written as CIF:
```
data_NdAlO3
_space_group_name_H-M_alt 'C m c m'
_space_group_IT_number 63
_space_group_name_Hall '-C 2c 2'
_cell_length_a 3.376
_cell_length_b 12.995
_cell_length_c 6.057
_cell_angle_alpha 90.00
_cell_angle_beta 90.00
_cell_angle_gamma 90.00
loop_
_atom_site_label
_atom_site_type_symbol
_atom_site_fract_x
_atom_site_fract_y
_atom_site_fract_z
_atom_site_occupancy
Nd1 Nd 0.000 0.179 0.250 1
Al1 Al 0.000 0.431 0.250 1
O1 O 0.000 0.009 0.750 1
O2 O 0.000 0.343 0.022 1
```

***

Below is TbHoSc2 after structural relaxation, with properties calculated at the PBE level.

**Crystal system**: trigonal
**Energy relative to the lowest polymorph listed for this composition**: 2.3 kJ/mol of formula units
**Energy of formation from the pure elements**: 0.23 eV/f.u.
**V**: 332 Å³/cell
**Calculated total energy**: -21.646 eV/f.u.
**Size of the total moment**: 0.000 μB per cell

Cell and atoms, written as CIF:
```
data_TbHoSc2
_space_group_name_H-M_alt 'R -3 m'
_space_group_IT_number 166
_space_group_name_Hall '-R 3 2"'
_cell_length_a 3.4192
_cell_length_b 3.4192
_cell_length_c 32.8399
_cell_angle_alpha 90.00
_cell_angle_beta 90.00
_cell_angle_gamma 120.00
loop_
_atom_site_label
_atom_site_type_symbol
_atom_site_fract_x
_atom_site_fract_y
_atom_site_fract_z
_atom_site_occupancy
Tb1 Tb 0.0000 0.0000 0.0000 1
Ho1 Ho 0.0000 0.0000 0.5000 1
Sc1 Sc 0.0000 0.0000 0.2498 1
```

***

Below is Fe2RhSe after structural relaxation, with properties calculated at the PBE level.

**Crystal system**: trigonal
**V**: 170 Å³/cell
**Calculated total energy**: -27.123 eV/f.u.
**Size of the total moment**: 16.227 μB per cell
**Formation energy from raw total energies**: 0.16 eV per atom

Cell and atoms, written as CIF:
```
data_Fe2RhSe
_space_group_name_H-M_alt 'R 3 m'
_space_group_IT_number 160
_space_group_name_Hall 'R 3 -2"'
_cell_length_a 2.9112
_cell_length_b 2.9112
_cell_length_c 23.1961
_cell_angle_alpha 90.00
_cell_angle_beta 90.00
_cell_angle_gamma 120.00
loop_
_atom_site_label
_atom_site_type_symbol
_atom_site_fract_x
_atom_site_fract_y
_atom_site_fract_z
_atom_site_occupancy
Fe1 Fe 0.0000 0.0000 0.0000 1
Fe2 Fe 0.0000 0.0000 0.2544 1
Rh1 Rh 0.0000 0.0000 0.7512 1
Se1 Se 0.0000 0.0000 0.5107 1
```

***

Below is RbCd2AgBi after structural relaxation, with properties calculated at the PBE level.

**Crystal system**: tetragonal
**Energy of formation from the pure elements**: 0.32 eV/f.u.
**V**: 171 Å³/cell
**Calculated total energy**: -9.208 eV/f.u.
**Size of the total moment**: 0.000 μB per cell

Cell and atoms, written as CIF:
```
data_RbCd2AgBi
_space_group_name_H-M_alt 'P 4/m m m'
_space_group_IT_number 123
_space_group_name_Hall '-P 4 2'
_cell_length_a 5.440
_cell_length_b 5.440
_cell_length_c 5.769
_cell_angle_alpha 90.00
_cell_angle_beta 90.00
_cell_angle_gamma 90.00
loop_
_atom_site_label
_atom_site_type_symbol
_atom_site_fract_x
_atom_site_fract_y
_atom_site_fract_z
_atom_site_occupancy
Rb1 Rb 0.000 0.000 0.000 1
Cd1 Cd 0.000 0.500 0.500 1
Ag1 Ag 0.500 0.500 0.500 1
Bi1 Bi 0.500 0.500 0.000 1
```

***

Below is GaC after structural relaxation, with properties calculated at the PBE level.

**Crystal system**: orthorhombic
**Energy relative to the lowest polymorph listed for this composition**: 99.8 kJ/mol of formula units
**Energy of formation from the pure elements**: 1.51 eV/f.u.
**V**: 156 Å³/cell
**Calculated total energy**: -10.737 eV/f.u.
**Size of the total moment**: 0.000 μB per cell

Cell and atoms, written as CIF:
```
data_GaC
_space_group_name_H-M_alt 'P m m n'
_space_group_IT_number 59
_cell_length_a 3.354
_cell_length_b 8.062
_cell_length_c 5.751
_cell_angle_alpha 90.00
_cell_angle_beta 90.00
_cell_angle_gamma 90.00
loop_
_space_group_symop_operation_xyz
'x,y,z'
'-x,-y,-z'
'-x+1/2,-y+1/2,z'
'x+1/2,y+1/2,-z'
'x+1/2,-y,-z'
'-x+1/2,y,z'
'-x,y+1/2,-z'
'x,-y+1/2,z'
loop_
_atom_site_label
_atom_site_type_symbol
_atom_site_fract_x
_atom_site_fract_y
_atom_site_fract_z
_atom_site_occupancy
Ga1 Ga 0.250 0.076 0.182 1
Ga2 Ga 0.250 0.750 0.394 1
C1 C 0.250 0.250 0.438 1
C2 C 0.250 0.661 0.029 1
```

***

Below is ZrIn2Au after structural relaxation, with properties calculated at the PBE level.

**Crystal system**: cubic
**Energy relative to the lowest polymorph listed for this composition**: 124.6 kJ/mol of formula units
**Energy of formation from the pure elements**: -0.15 eV/f.u.
**V**: 343 Å³/cell
**Calculated total energy**: -17.454 eV/f.u.
**Size of the total moment**: 0.000 μB per cell

Cell and atoms, written as CIF:
```
data_ZrIn2Au
_space_group_name_H-M_alt 'F m -3 m'
_space_group_IT_number 225
_space_group_name_Hall '-F 4 2 3'
_cell_length_a 7.001
_cell_length_b 7.001
_cell_length_c 7.001
_cell_angle_alpha 90.00
_cell_angle_beta 90.00
_cell_angle_gamma 90.00
loop_
_atom_site_label
_atom_site_type_symbol
_atom_site_fract_x
_atom_site_fract_y
_atom_site_fract_z
_atom_site_occupancy
Zr1 Zr 0.000 0.000 0.000 1
In1 In 0.250 0.250 0.250 1
Au1 Au 0.000 0.000 0.500 1
```

***

Below is LiTbP2Pt4 after structural relaxation, with properties calculated at the PBE level.

**Crystal system**: tetragonal
**Energy of formation from the pure elements**: -5.81 eV/f.u.
**V**: 146 Å³/cell
**Calculated total energy**: -47.340 eV/f.u.
**Size of the total moment**: 0.000 μB per cell

Cell and atoms, written as CIF:
```
data_LiTbP2Pt4
_space_group_name_H-M_alt 'P 4/m m m'
_space_group_IT_number 123
_space_group_name_Hall '-P 4 2'
_cell_length_a 4.070
_cell_length_b 4.070
_cell_length_c 8.815
_cell_angle_alpha 90.00
_cell_angle_beta 90.00
_cell_angle_gamma 90.00
loop_
_atom_site_label
_atom_site_type_symbol
_atom_site_fract_x
_atom_site_fract_y
_atom_site_fract_z
_atom_site_occupancy
Li1 Li 0.000 0.000 0.000 1
Tb1 Tb 0.000 0.000 0.500 1
P1 P 0.500 0.500 0.122 1
Pt1 Pt 0.000 0.500 0.253 1
```

***

Below is BaCoPb2 after structural relaxation, with properties calculated at the PBE level.

**Crystal system**: orthorhombic
**Energy of formation from the pure elements**: -0.02 eV/f.u.
**V**: 239 Å³/cell
**Calculated total energy**: -16.463 eV/f.u.
**Size of the total moment**: 1.170 μB per cell

Cell and atoms, written as CIF:
```
data_BaCoPb2
_space_group_name_H-M_alt 'C m m m'
_space_group_IT_number 65
_space_group_name_Hall '-C 2 2'
_cell_length_a 5.901
_cell_length_b 9.546
_cell_length_c 4.235
_cell_angle_alpha 90.00
_cell_angle_beta 90.00
_cell_angle_gamma 90.00
loop_
_atom_site_label
_atom_site_type_symbol
_atom_site_fract_x
_atom_site_fract_y
_atom_site_fract_z
_atom_site_occupancy
Ba1 Ba 0.000 0.000 0.000 1
Co1 Co 0.000 0.500 0.000 1
Pb1 Pb 0.000 0.330 0.500 1
```

***

Question: Among the records above, which one has the lowest calculated total energy?
Answer: LiTbP2Pt4

***

What did the sixth record say?
Below is ZrIn2Au after structural relaxation, with properties calculated at the PBE level.

**Crystal system**: cubic
**Energy relative to the lowest polymorph listed for this composition**: 124.6 kJ/mol of formula units
**Energy of formation from the pure elements**: -0.15 eV/f.u.
**V**: 343 Å³/cell
**Calculated total energy**: -17.454 eV/f.u.
**Size of the total moment**: 0.000 μB per cell

Cell and atoms, written as CIF:
```
data_ZrIn2Au
_space_group_name_H-M_alt 'F m -3 m'
_space_group_IT_number 225
_space_group_name_Hall '-F 4 2 3'
_cell_length_a 7.001
_cell_length_b 7.001
_cell_length_c 7.001
_cell_angle_alpha 90.00
_cell_angle_beta 90.00
_cell_angle_gamma 90.00
loop_
_atom_site_label
_atom_site_type_symbol
_atom_site_fract_x
_atom_site_fract_y
_atom_site_fract_z
_atom_site_occupancy
Zr1 Zr 0.000 0.000 0.000 1
In1 In 0.250 0.250 0.250 1
Au1 Au 0.000 0.000 0.500 1
```

***

Question: Which formula does entry 1 have?
Answer: NdAlO3

***

Question: Look up the size of the total moment of the first one.
Answer: 0.000 μB per cell